{"formula": "TiAgSb3", "functional": "SCAN", "state": "single point on PBEsol structure", "lattice": [[5.216, 0.000, 0.000], [0.000, 5.216, 0.000], [0.000, 0.000, 5.216]], "species": ["Ti", "Ag", "Sb", "Sb", "Sb"], "frac_coords": [[0.000, 0.000, 0.000], [0.500, 0.500, 0.500], [0.000, 0.500, 0.500], [0.500, 0.000, 0.500], [0.500, 0.500, 0.000]], "space_group": "Pm-3m", "dos_at_fermi_per_ev_fu": 4.19, "formation_energy_uncorrected_ev_per_atom": 0.83}